Material: Na2MnCr2O6
Method: DFT, GGA+U
State: optimized geometry

The structure in CIF format:
```
data_Na2MnCr2O6
_symmetry_space_group_name_H-M 'P 1'
_symmetry_Int_Tables_number 1
_cell_length_a 5.1627
_cell_length_b 5.1627
_cell_length_c 5.7593
_cell_angle_alpha 98.56
_cell_angle_beta 98.56
_cell_angle_gamma 119.79
loop_
_symmetry_equiv_pos_as_xyz
'x,y,z'
loop_
_atom_site_label
_atom_site_fract_x
_atom_site_fract_y
_atom_site_fract_z
Cr1 0.6654 0.3346 0.5000
O1 0.0579 0.3860 0.6872
O2 0.9421 0.6140 0.3128
Mn1 0.0000 0.0000 0.5000
O3 0.6140 0.9421 0.3128
Cr2 0.3346 0.6654 0.5000
O4 0.2568 0.2568 0.3124
O5 0.3860 0.0579 0.6872
Na1 0.1671 0.8329 0.0000
Na2 0.8329 0.1671 0.0000
O6 0.7432 0.7432 0.6876
```

Properties
The calculation puts the total energy at -6.802 eV per atom. The space group is C2/m.